Record 1
First-principles (GGA-PBE) data for a relaxed structure of Ag6SCl2F2, as listed in Alexandria via LeMat-Bulk.

Structure (POSCAR):
```
Ag6SCl2F2
1.0
-4.1122 -4.3674 0.9323
2.4044 0.5416 -6.6228
4.0843 -3.1313 3.3463
Ag F Cl S
6 2 2 1
Cartesian
0.4630 -6.1589 2.6445
-0.1024 -2.9392 -4.5318
2.4789 -4.0180 2.1875
1.9134 -0.7982 -4.9888
1.8456 -2.2195 -2.2571
0.5308 -4.7376 -0.0872
0.7418 -0.8639 -0.7752
1.6346 -6.0932 -1.5690
-1.0334 -3.6603 -1.9401
3.4098 -3.2968 -0.4042
-0.0140 -3.7494 2.1393
```

Summary:
As for the formation energy (no corrections): -0.501 eV/atom. For the total energy, the calculation gives -0.114 hartree per atom. As for the symmetry: No. 12. Its magnetic moment is 0.000 μB per atom.


Record 2
First-principles (GGA-PBE) data for a relaxed structure of Ag3SbCl6F2, as listed in Alexandria via LeMat-Bulk.

Structure (POSCAR):
```
Ag3SbCl6F2
1.0
6.4836 0.0000 -0.9078
0.0000 7.4621 0.0000
-2.0938 -3.7310 6.7006
Ag Cl F Sb
3 6 2 1
Cartesian
0.0000 3.7310 0.0000
2.1949 -1.8655 2.8964
2.1949 1.8655 2.8964
0.0454 2.0220 4.9488
4.3444 1.7090 0.8440
3.0486 3.7310 4.6871
1.3412 0.0000 1.1056
0.0454 -2.0220 4.9488
4.3444 5.7530 0.8440
1.2510 3.7310 1.7534
3.1388 0.0000 4.0394
3.2418 0.0000 -0.4539
```

Summary:
As for the formation energy (no corrections): -0.717 eV/atom. For the total energy, the calculation gives -0.111 hartree per atom. As for the symmetry: No. 12. Its magnetic moment is 0.000 μB per atom.


Record 3
First-principles (GGA-PBE) data for a relaxed structure of Ag4SeCl2F, as listed in Alexandria via LeMat-Bulk.

Structure (POSCAR):
```
Ag4SeCl2F
1.0
-3.1201 6.6416 -2.5633
2.5301 -1.8757 -7.1061
-4.3640 -4.7718 3.5188
Ag Cl Se F
8 4 2 2
Cartesian
-1.1022 -2.0294 -4.1185
-4.7702 -1.0168 -3.7628
-2.1849 -1.1771 -0.7746
-3.8518 2.0235 -2.0321
-3.1479 -4.6208 -2.4687
-1.8062 4.6150 -3.6819
-0.1838 1.0109 -2.3878
-2.7690 1.1711 -5.3760
-0.2950 2.3830 -4.8347
-3.7420 0.9349 0.4777
-2.1820 -2.3859 1.7594
-1.5601 3.3208 -1.2817
-4.0370 3.3179 -4.3570
1.2650 -0.9379 -3.5531
-7.4841 1.8698 0.9555
-2.4770 -0.0030 -3.0753
```

Summary:
As for the formation energy (no corrections): -0.438 eV/atom. For the total energy, the calculation gives -0.110 hartree per atom. As for the symmetry: No. 74. Its magnetic moment is 0.000 μB per atom.


Record 4
First-principles (GGA-PBE) data for a relaxed structure of Ag4SeClF2, as listed in Alexandria via LeMat-Bulk.

Structure (POSCAR):
```
Ag4SeClF2
1.0
-7.2389 3.3470 1.5151
1.3433 -4.5356 6.5974
5.0141 4.4613 -1.5478
Ag F Se Cl
8 4 2 2
Cartesian
-0.7890 -2.5244 5.4879
-0.0927 5.7973 1.0768
-2.5345 3.5065 1.8893
1.6529 -0.2339 4.6752
3.7336 3.7338 0.7205
1.5058 1.7521 1.4084
-2.3874 1.5206 5.1563
-4.6150 -0.4611 5.8442
-2.2761 -2.8620 7.3549
0.2308 -0.6315 6.5810
-4.7318 5.5776 0.7412
-2.9478 -0.5943 4.0563
-6.5672 1.0793 4.8138
-4.0603 3.3097 4.0399
-0.4408 1.6363 3.2823
-2.2248 7.8082 -0.0327
```

Summary:
As for the formation energy (no corrections): -0.587 eV/atom. For the total energy, the calculation gives -0.116 hartree per atom. As for the symmetry: No. 74. Its magnetic moment is 0.000 μB per atom.


Record 5
First-principles (GGA-PBE) data for a relaxed structure of Ag6Se2ClF2, as listed in Alexandria via LeMat-Bulk.

Structure (POSCAR):
```
Ag6Se2ClF2
1.0
-0.8473 3.8538 6.6457
-6.8270 2.7618 2.0447
3.4550 -5.8824 3.8388
F Ag Se Cl
2 6 2 1
Cartesian
-1.9232 -1.7457 5.2618
-2.2960 2.4789 7.2674
-0.8332 1.1743 8.2013
-3.6537 2.3145 5.3737
-3.9772 3.8766 8.0686
-3.3861 -0.4411 4.3280
-0.2420 -3.1434 4.4606
-0.5655 -1.5813 7.1555
-4.4936 1.4609 3.0814
0.2743 -0.7277 9.4478
1.3039 -1.0143 5.2423
```

Summary:
As for the formation energy (no corrections): -0.429 eV/atom. For the total energy, the calculation gives -0.115 hartree per atom. As for the symmetry: No. 2. Its magnetic moment is 0.000 μB per atom.


Record 6
First-principles (GGA-PBE) data for a relaxed structure of Ag6SeCl2F2, as listed in Alexandria via LeMat-Bulk.

Structure (POSCAR):
```
Ag6SeCl2F2
1.0
6.0900 0.0000 0.0000
-3.0450 6.3084 0.6670
0.0000 -2.6425 5.6736
Ag Se F Cl
6 1 2 2
Cartesian
1.5574 -1.2967 4.9976
-1.4876 4.9627 1.3429
0.0000 2.5274 2.6481
1.4876 4.9627 1.3429
4.5326 -1.2967 4.9976
3.0450 1.1386 3.6925
3.0450 -1.3212 2.8368
0.0000 0.8741 1.0857
3.0450 2.7919 5.2549
3.0450 2.6126 1.4728
0.0000 1.0534 4.8678
```

Summary:
As for the formation energy (no corrections): -0.505 eV/atom. For the total energy, the calculation gives -0.112 hartree per atom. As for the symmetry: No. 12. Its magnetic moment is 0.000 μB per atom.


Record 7
First-principles (GGA-PBE) data for a relaxed structure of SiAg3Cl2F6, as listed in Alexandria via LeMat-Bulk.

Structure (POSCAR):
```
SiAg3Cl2F6
1.0
-2.5243 2.4495 3.4822
1.2290 -4.6554 4.1657
4.6945 5.2569 -0.3757
Cl Ag F Si
2 3 6 1
Cartesian
1.1593 3.9117 4.0294
2.2399 -0.8606 3.2429
1.6996 1.5255 3.6361
1.0851 3.8532 1.5533
0.6145 -2.3277 2.0829
2.9918 1.7047 5.8879
0.4074 1.3464 1.3844
-0.8712 1.1497 3.4264
4.2704 1.9014 3.8458
3.5175 4.7536 1.2937
-0.1182 -1.7025 5.9786
-1.2622 1.2248 1.7411
```

Summary:
As for the formation energy (no corrections): -1.754 eV/atom. For the total energy, the calculation gives -0.153 hartree per atom. As for the symmetry: No. 12. Its magnetic moment is 0.000 μB per atom.


Record 8
First-principles (GGA-PBE) data for a relaxed structure of Sr2Ag2Cl2F5, as listed in Alexandria via LeMat-Bulk.

Structure (POSCAR):
```
Sr2Ag2Cl2F5
1.0
4.3282 0.0000 0.0000
0.0000 4.3282 0.0000
-2.1641 -2.1641 12.8151
Sr Cl F Ag
2 2 5 2
Cartesian
0.0000 0.0000 8.4625
2.1641 2.1641 4.3526
0.0000 0.0000 5.4195
2.1641 2.1641 7.3956
0.0000 2.1641 3.0553
2.1641 0.0000 9.7598
0.0000 2.1641 9.7598
2.1641 0.0000 3.0553
0.0000 0.0000 0.0000
2.1641 2.1641 10.6941
0.0000 0.0000 2.1209
```

Summary:
As for the formation energy (no corrections): -2.206 eV/atom. For the total energy, the calculation gives -0.155 hartree per atom. As for the symmetry: No. 139. Its magnetic moment is 0.100 μB per atom.


Record 9
First-principles (GGA-PBE) data for a relaxed structure of SrAgClF2, as listed in Alexandria via LeMat-Bulk.

Structure (POSCAR):
```
SrAgClF2
1.0
3.8902 0.0000 0.0000
0.0000 7.2687 -0.6430
0.0000 -1.7440 7.2228
F Ag Cl Sr
4 2 2 2
Cartesian
2.9177 1.0964 4.8560
0.9726 4.4283 1.7238
0.9726 -0.0552 2.8210
2.9177 5.5799 3.7588
0.9726 2.2455 2.2707
2.9177 3.2792 4.3091
2.9177 1.4650 0.5417
0.9726 4.0597 6.0382
2.9177 5.8861 1.2929
0.9726 -0.3614 5.2870
```

Summary:
As for the formation energy (no corrections): -2.374 eV/atom. For the total energy, the calculation gives -0.162 hartree per atom. As for the symmetry: No. 11. Its magnetic moment is 0.000 μB per atom.


Record 10
First-principles (GGA-PBE) data for a relaxed structure of TcAg2Cl4F2, as listed in Alexandria via LeMat-Bulk.

Structure (POSCAR):
```
TcAg2Cl4F2
1.0
5.6052 -0.7197 -0.4897
0.3765 6.8339 0.2285
0.3765 2.7218 6.2727
Ag Cl F Tc
2 4 2 1
Cartesian
3.1644 2.4363 1.6575
3.1937 6.3997 4.3540
4.3887 6.5602 2.0514
1.9694 2.2759 3.9602
4.3887 4.3169 5.3487
1.9694 4.5192 0.6628
4.9066 8.0358 5.4671
1.4516 0.8003 0.5445
2.8026 -0.3599 -0.2448
```

Summary:
As for the formation energy (no corrections): -0.905 eV/atom. For the total energy, the calculation gives -0.144 hartree per atom. As for the symmetry: No. 12. Its magnetic moment is 0.333 μB per atom.


Record 11
First-principles (GGA-PBE) data for a relaxed structure of Ag4TeCl2F, as listed in Alexandria via LeMat-Bulk.

Structure (POSCAR):
```
Ag4TeCl2F
1.0
-3.1590 -4.9562 -5.2884
-4.1499 -3.3292 5.8485
-0.9076 7.1736 -1.1288
Ag Cl Te F
8 4 2 2
Cartesian
-5.9431 -2.5318 -0.1850
-3.9692 -3.7090 3.3034
-4.3799 -0.1929 2.2551
-4.2473 2.5972 -3.8721
-2.2733 1.4200 -0.3836
-6.3770 0.8567 -0.7186
-3.8365 -0.9189 -2.8237
-1.8394 -1.9685 0.1500
-0.4538 3.5868 -0.5644
-3.6544 -4.1427 0.2800
-1.5795 -2.4781 -2.6442
-2.0333 1.1087 -3.2086
-2.0750 -1.6646 2.9243
-5.6877 -3.0340 -2.9285
-4.1082 -0.5559 -0.2843
-4.0665 2.2174 -6.4171
```

Summary:
As for the formation energy (no corrections): -0.433 eV/atom. For the total energy, the calculation gives -0.108 hartree per atom. As for the symmetry: No. 15. Its magnetic moment is 0.000 μB per atom.